# KSeIBr2, optimized geometry, DFT PBEsol
data_KSeIBr2
_chemical_formula_sum 'K1 Se1 I1 Br2'
_cell_length_a 5.908
_cell_length_b 5.908
_cell_length_c 6.090
_cell_angle_alpha 90.00
_cell_angle_beta 90.00
_cell_angle_gamma 90.00
_space_group_name_H-M_alt 'P 4/m m m'
_space_group_IT_number 123
_space_group_name_Hall '-P 4 2'
loop_
_atom_site_label
_atom_site_type_symbol
_atom_site_fract_x
_atom_site_fract_y
_atom_site_fract_z
K1 K 0.000 0.000 0.000
Se1 Se 0.000 0.000 0.500
I1 I 0.500 0.500 0.500
Br1 Br 0.000 0.500 0.000
# Total magnetic moment, μB per formula unit: 4.1
# Calculated volume, Å³/cell: 212.6
# Formation energy (no corrections), kJ/mol of atoms: 30.28